Entry 1:
{
  "formula": "Ni5H12Ru3",
  "functional": "GGA-PBE",
  "state": "optimized geometry",
  "lattice_angstrom": [[-5.155, 5.155, 5.155], [5.155, -5.155, 5.155], [5.155, 5.155, -5.155]],
  "species": ["Ni", "Ni", "Ni", "Ni", "Ni", "Ni", "Ni", "Ni", "Ni", "Ni", "Ni", "Ni", "Ni", "Ni", "Ni", "Ni", "Ni", "Ni", "Ni", "Ni", "H", "H", "H", "H", "H", "H", "H", "H", "H", "H", "H", "H", "H", "H", "H", "H", "H", "H", "H", "H", "H", "H", "H", "H", "H", "H", "H", "H", "H", "H", "H", "H", "H", "H", "H", "H", "H", "H", "H", "H", "H", "H", "H", "H", "H", "H", "H", "H", "Ru", "Ru", "Ru", "Ru", "Ru", "Ru", "Ru", "Ru", "Ru", "Ru", "Ru", "Ru"],
  "frac_coords": [[0.000, 0.000, 0.000], [0.000, 0.000, 0.500], [0.000, 0.500, 0.000], [0.000, 0.500, 0.500], [0.125, 0.750, 0.875], [0.125, 0.875, 0.250], [0.250, 0.125, 0.875], [0.250, 0.625, 0.375], [0.375, 0.250, 0.625], [0.375, 0.625, 0.750], [0.500, 0.000, 0.000], [0.500, 0.000, 0.500], [0.500, 0.500, 0.000], [0.500, 0.500, 0.500], [0.625, 0.375, 0.250], [0.625, 0.750, 0.375], [0.750, 0.375, 0.625], [0.750, 0.875, 0.125], [0.875, 0.125, 0.750], [0.875, 0.250, 0.125], [0.050, 0.220, 0.136], [0.050, 0.330, 0.914], [0.084, 0.720, 0.670], [0.084, 0.864, 0.414], [0.086, 0.636, 0.416], [0.086, 0.950, 0.670], [0.136, 0.050, 0.220], [0.136, 0.586, 0.916], [0.170, 0.220, 0.584], [0.170, 0.450, 0.586], [0.220, 0.136, 0.050], [0.220, 0.584, 0.170], [0.280, 0.330, 0.916], [0.280, 0.450, 0.364], [0.330, 0.914, 0.050], [0.330, 0.916, 0.280], [0.364, 0.280, 0.450], [0.364, 0.584, 0.914], [0.414, 0.084, 0.864], [0.414, 0.830, 0.550], [0.416, 0.086, 0.636], [0.416, 0.830, 0.780], [0.450, 0.364, 0.280], [0.450, 0.586, 0.170], [0.550, 0.414, 0.830], [0.550, 0.636, 0.720], [0.584, 0.170, 0.220], [0.584, 0.914, 0.364], [0.586, 0.170, 0.450], [0.586, 0.916, 0.136], [0.636, 0.416, 0.086], [0.636, 0.720, 0.550], [0.670, 0.084, 0.720], [0.670, 0.086, 0.950], [0.720, 0.550, 0.636], [0.720, 0.670, 0.084], [0.780, 0.416, 0.830], [0.780, 0.864, 0.950], [0.830, 0.550, 0.414], [0.830, 0.780, 0.416], [0.864, 0.414, 0.084], [0.864, 0.950, 0.780], [0.914, 0.050, 0.330], [0.914, 0.364, 0.584], [0.916, 0.136, 0.586], [0.916, 0.280, 0.330], [0.950, 0.670, 0.086], [0.950, 0.780, 0.864], [0.125, 0.250, 0.375], [0.125, 0.375, 0.750], [0.250, 0.375, 0.125], [0.250, 0.875, 0.625], [0.375, 0.125, 0.250], [0.375, 0.750, 0.125], [0.625, 0.250, 0.875], [0.625, 0.875, 0.750], [0.750, 0.125, 0.375], [0.750, 0.625, 0.875], [0.875, 0.625, 0.250], [0.875, 0.750, 0.625]],
  "dos_at_fermi_per_ev_cell": 62.97,
  "crystal_system": "cubic",
  "e_tot_ev_per_atom": -4.707
}

=====

Entry 2:
{
  "formula": "TbPmDy4Ho2",
  "functional": "GGA-PBE",
  "state": "optimized geometry",
  "lattice_angstrom": [[-3.393, 5.875, 6.625], [3.393, -5.875, 6.625], [3.393, 5.875, -6.625]],
  "species": ["Tb", "Tb", "Pm", "Pm", "Dy", "Dy", "Dy", "Dy", "Dy", "Dy", "Dy", "Dy", "Ho", "Ho", "Ho", "Ho"],
  "frac_coords": [[0.500, 0.000, 0.000], [0.500, 0.500, 0.500], [0.000, 0.000, 0.000], [0.500, 0.000, 0.500], [0.247, 0.748, 0.499], [0.249, 0.250, 0.502], [0.249, 0.747, 0.998], [0.251, 0.252, 0.999], [0.749, 0.748, 0.001], [0.751, 0.253, 0.002], [0.751, 0.750, 0.498], [0.753, 0.252, 0.501], [0.000, 0.000, 0.500], [0.000, 0.500, 0.000], [0.000, 0.500, 0.500], [0.500, 0.500, 0.000]],
  "dos_at_fermi_per_ev_cell": 33.85,
  "crystal_system": "orthorhombic",
  "e_tot_ev_per_atom": -4.181
}

=====

Entry 3:
{
  "formula": "Zn3Ni5H12",
  "functional": "GGA-PBE",
  "state": "optimized geometry",
  "lattice_angstrom": [[-5.267, 5.267, 5.267], [5.267, -5.267, 5.267], [5.267, 5.267, -5.267]],
  "species": ["Zn", "Zn", "Zn", "Zn", "Zn", "Zn", "Zn", "Zn", "Zn", "Zn", "Zn", "Zn", "Ni", "Ni", "Ni", "Ni", "Ni", "Ni", "Ni", "Ni", "Ni", "Ni", "Ni", "Ni", "Ni", "Ni", "Ni", "Ni", "Ni", "Ni", "Ni", "Ni", "H", "H", "H", "H", "H", "H", "H", "H", "H", "H", "H", "H", "H", "H", "H", "H", "H", "H", "H", "H", "H", "H", "H", "H", "H", "H", "H", "H", "H", "H", "H", "H", "H", "H", "H", "H", "H", "H", "H", "H", "H", "H", "H", "H", "H", "H", "H", "H"],
  "frac_coords": [[0.125, 0.250, 0.375], [0.125, 0.375, 0.750], [0.250, 0.375, 0.125], [0.250, 0.875, 0.625], [0.375, 0.125, 0.250], [0.375, 0.750, 0.125], [0.625, 0.250, 0.875], [0.625, 0.875, 0.750], [0.750, 0.125, 0.375], [0.750, 0.625, 0.875], [0.875, 0.625, 0.250], [0.875, 0.750, 0.625], [0.000, 0.000, 0.000], [0.000, 0.000, 0.500], [0.000, 0.500, 0.000], [0.000, 0.500, 0.500], [0.125, 0.750, 0.875], [0.125, 0.875, 0.250], [0.250, 0.125, 0.875], [0.250, 0.625, 0.375], [0.375, 0.250, 0.625], [0.375, 0.625, 0.750], [0.500, 0.000, 0.000], [0.500, 0.000, 0.500], [0.500, 0.500, 0.000], [0.500, 0.500, 0.500], [0.625, 0.375, 0.250], [0.625, 0.750, 0.375], [0.750, 0.375, 0.625], [0.750, 0.875, 0.125], [0.875, 0.125, 0.750], [0.875, 0.250, 0.125], [0.025, 0.195, 0.126], [0.025, 0.330, 0.899], [0.069, 0.695, 0.670], [0.069, 0.874, 0.399], [0.101, 0.626, 0.431], [0.101, 0.975, 0.670], [0.126, 0.025, 0.195], [0.126, 0.601, 0.931], [0.170, 0.195, 0.569], [0.170, 0.475, 0.601], [0.195, 0.126, 0.025], [0.195, 0.569, 0.170], [0.305, 0.330, 0.931], [0.305, 0.475, 0.374], [0.330, 0.899, 0.025], [0.330, 0.931, 0.305], [0.374, 0.305, 0.475], [0.374, 0.569, 0.899], [0.399, 0.069, 0.874], [0.399, 0.830, 0.525], [0.431, 0.101, 0.626], [0.431, 0.830, 0.805], [0.475, 0.374, 0.305], [0.475, 0.601, 0.170], [0.525, 0.399, 0.830], [0.525, 0.626, 0.695], [0.569, 0.170, 0.195], [0.569, 0.899, 0.374], [0.601, 0.170, 0.475], [0.601, 0.931, 0.126], [0.626, 0.431, 0.101], [0.626, 0.695, 0.525], [0.670, 0.069, 0.695], [0.670, 0.101, 0.975], [0.695, 0.525, 0.626], [0.695, 0.670, 0.069], [0.805, 0.431, 0.830], [0.805, 0.874, 0.975], [0.830, 0.525, 0.399], [0.830, 0.805, 0.431], [0.874, 0.399, 0.069], [0.874, 0.975, 0.805], [0.899, 0.025, 0.330], [0.899, 0.374, 0.569], [0.931, 0.126, 0.601], [0.931, 0.305, 0.330], [0.975, 0.670, 0.101], [0.975, 0.805, 0.874]],
  "dos_at_fermi_per_ev_cell": 34.15,
  "crystal_system": "cubic",
  "e_tot_ev_per_atom": -3.496
}

=====

Entry 4:
{
  "formula": "LaSb2TeS",
  "functional": "GGA-PBE",
  "state": "optimized geometry",
  "lattice_angstrom": [[6.172, 0.000, 0.000], [0.000, 6.172, 0.000], [0.000, 0.000, 6.018]],
  "species": ["La", "Sb", "Sb", "Te", "S"],
  "frac_coords": [[0.000, 0.000, 0.000], [0.000, 0.500, 0.000], [0.500, 0.000, 0.000], [0.000, 0.000, 0.500], [0.500, 0.500, 0.500]],
  "dos_at_fermi_per_ev_cell": 7.64,
  "e_above_lowest_polymorph_mev_per_atom": 989.9,
  "raw_formation_energy_kj_per_mol_atoms": 69,
  "crystal_system": "tetragonal",
  "e_tot_ev_per_atom": -3.372
}

=====

Entry 5:
{
  "formula": "Rb2SI7",
  "functional": "GGA-PBE",
  "state": "optimized geometry",
  "lattice_angstrom": [[-4.213, 4.213, 6.325], [4.213, -4.213, 6.325], [4.213, 4.213, -6.325]],
  "species": ["Rb", "Rb", "S", "I", "I", "I", "I", "I", "I", "I"],
  "frac_coords": [[0.250, 0.750, 0.500], [0.750, 0.250, 0.500], [0.000, 0.000, 0.000], [0.218, 0.218, 0.000], [0.240, 0.240, 0.479], [0.240, 0.760, 0.000], [0.500, 0.500, 0.000], [0.760, 0.240, 0.000], [0.760, 0.760, 0.521], [0.782, 0.782, 0.000]],
  "dos_at_fermi_per_ev_cell": 2.32,
  "raw_formation_energy_kj_per_mol_atoms": -47,
  "crystal_system": "tetragonal",
  "e_tot_ev_per_atom": -2.182
}